(1)
Density functional theory data (PBE) for NaIr2W after structural relaxation.

## Properties
Electronic total energy ... -0.5647 Ry/atom
Spin magnetization ... 0.0 μB per cell
Relative energy among the computed polymorphs ... 0.000 eV/atom
Calculated volume ... 15.39 Å³ per atom
D(E_F) ... 4.55 states/eV/f.u.

Cell: 4.4324 4.4324 4.4324 Å, 60.00 60.00 60.00°
With the nearest neighbours (Å) after each atom.
Fractional positions:
Na 0.0000 0.0000 0.0000  8 Ir 2.71
Ir 0.2500 0.2500 0.2500  4 W 2.71, 4 Na 2.71
Ir 0.7500 0.7500 0.7500  4 W 2.71, 4 Na 2.71
W 0.5000 0.5000 0.5000  8 Ir 2.71

=====

(2)
Density functional theory data (PBE) for Be2MoSe after structural relaxation.

## Properties
Electronic total energy ... -0.3890 Ry/atom
Spin magnetization ... 0.0 μB per cell
Calculated volume ... 12.73 Å³ per atom
D(E_F) ... 1.61 states/eV/f.u.
Formation energy from raw total energies ... 0.15 eV/atom

Cell: 3.1835 3.1835 5.0262 Å, 90.00 90.00 90.00°
With the nearest neighbours (Å) after each atom.
Fractional positions:
Be 0.0000 0.0000 0.0000  1 Mo 2.34, 4 Be 2.46, 4 Se 2.62
Be 0.5000 0.5000 0.1989  1 Se 2.34, 4 Be 2.46, 4 Mo 2.62
Mo 0.0000 0.0000 0.4659  5 Be 2.34-2.62, 4 Se 2.62
Se 0.5000 0.5000 0.7324  5 Be 2.34-2.62, 4 Mo 2.62

=====

(3)
Density functional theory data (PBE) for Cs2NdRe3O12 after structural relaxation.

## Properties
Electronic total energy ... -0.5629 Ry/atom
Spin magnetization ... 0.9 μB per cell
Calculated volume ... 17.22 Å³ per atom
D(E_F) ... 4.93 states/eV/f.u.
Formation energy from raw total energies ... -1.92 eV/atom

Cell: 7.7617 7.7617 7.7617 Å, 57.28 57.28 57.28°
With the nearest neighbours (Å) after each atom.
Fractional positions:
Cs 0.1136 0.1136 0.1136  15 O 3.38-3.75
Cs 0.8864 0.8864 0.8864  15 O 3.38-3.75
Nd 0.5000 0.5000 0.5000  6 O 2.36
Re 0.0000 0.5000 0.5000  6 O 1.86-1.94
Re 0.5000 0.0000 0.5000  6 O 1.86-1.94
Re 0.5000 0.5000 0.0000  6 O 1.86-1.94
O 0.1333 0.5757 0.5757  1 Re 1.86
O 0.2004 0.2004 0.5720  2 Re 1.94
O 0.2004 0.5720 0.2004  2 Re 1.94
O 0.4243 0.4243 0.8667  1 Re 1.86
O 0.4243 0.8667 0.4243  1 Re 1.86
O 0.4280 0.7996 0.7996  2 Re 1.94
O 0.5720 0.2004 0.2004  2 Re 1.94
O 0.5757 0.1333 0.5757  1 Re 1.86
O 0.5757 0.5757 0.1333  1 Re 1.86
O 0.7996 0.4280 0.7996  2 Re 1.94
O 0.7996 0.7996 0.4280  2 Re 1.94
O 0.8667 0.4243 0.4243  1 Re 1.86

=====

(4)
Density functional theory data (PBE) for PaCoAu after structural relaxation.

## Properties
Electronic total energy ... -0.4980 Ry/atom
Spin magnetization ... 0.4 μB per cell
Relative energy among the computed polymorphs ... 0.311 eV/atom
Calculated volume ... 18.94 Å³ per atom
D(E_F) ... 6.95 states/eV/f.u.

Cell: 4.5036 4.5036 3.2345 Å, 90.00 90.00 120.00°
With the nearest neighbours (Å) after each atom.
Fractional positions:
Pa 0.0000 0.0000 0.0000  6 Co 3.06, 6 Au 3.06, 2 Pa 3.23
Co 0.3333 0.6667 0.5000  3 Au 2.60
Au 0.6667 0.3333 0.5000  3 Co 2.60

=====

(5)
Density functional theory data (PBE) for BaPmInSe4 after structural relaxation.

## Properties
Electronic total energy ... -0.3485 Ry/atom
Spin magnetization ... 0.0 μB per cell
Calculated volume ... 31.36 Å³ per atom
Formation energy from raw total energies ... -1.41 eV/atom

Cell: 7.1432 7.2568 8.8612 Å, 90.00 107.07 90.00°
With the nearest neighbours (Å) after each atom.
Fractional positions:
Ba 0.2359 0.2500 0.0540  4 Se 3.12-3.47
Ba 0.7641 0.7500 0.9460  4 Se 3.12-3.47
Pm 0.2208 0.2500 0.5555  6 Se 2.94-3.07
Pm 0.7792 0.7500 0.4445  6 Se 2.94-3.07
In 0.2398 0.7500 0.3268  4 Se 2.55-2.61
In 0.7602 0.2500 0.6732  4 Se 2.55-2.61
Se 0.0182 0.5153 0.7229  1 In 2.61
Se 0.0182 0.9847 0.7229  1 In 2.61
Se 0.4466 0.7500 0.1353  1 In 2.56
Se 0.4734 0.7500 0.6059  1 In 2.55
Se 0.5266 0.2500 0.3941  1 In 2.55
Se 0.5534 0.2500 0.8647  1 In 2.56
Se 0.9818 0.0153 0.2771  1 In 2.61
Se 0.9818 0.4847 0.2771  1 In 2.61

=====

(6)
Density functional theory data (PBE) for LaCeNdPa after structural relaxation.

## Properties
Electronic total energy ... -0.4313 Ry/atom
Spin magnetization ... 2.7 μB per cell
Calculated volume ... 30.87 Å³ per atom
D(E_F) ... 15.16 states/eV/f.u.

Cell: 5.5892 5.5892 5.5892 Å, 60.00 60.00 60.00°
With the nearest neighbours (Å) after each atom.
Fractional positions:
La 0.0000 0.0000 0.0000  4 Nd 3.42, 4 Pa 3.42
Ce 0.5000 0.5000 0.5000  4 Pa 3.42, 4 Nd 3.42
Nd 0.7500 0.7500 0.7500  4 La 3.42, 4 Ce 3.42
Pa 0.2500 0.2500 0.2500  4 La 3.42, 4 Ce 3.42